Material: Co2TcS4
Method: DFT, PBE
State: optimized geometry

Unit cell a=6.4682 b=6.4682 c=6.4682 alpha=136.76 beta=136.76 gamma=62.80
With the nearest neighbours (Å) after each atom.
Fractional coordinates of all 7 atoms:
1 Co 0.1036 0.1036 0.0000  1 S 2.07, 1 Co 2.29
2 Co 0.8964 0.8964 0.0000  1 S 2.07, 1 Co 2.29
3 Tc 0.5000 0.5000 0.0000  6 S 2.31-2.38
4 S 0.0000 0.5000 0.5000  2 Tc 2.38, 4 Co 2.64
5 S 0.2908 0.2908 0.0000  1 Co 2.07, 1 Tc 2.31
6 S 0.5000 0.0000 0.5000  2 Tc 2.38, 4 Co 2.64
7 S 0.7092 0.7092 0.0000  1 Co 2.07, 1 Tc 2.31

Raw total energy in eV for the cell shown: -38.97
Uncorrected formation energy in eV per formula unit: 2.11

Material: CoTcS2
Method: DFT, PBE
State: optimized geometry

Unit cell a=6.2386 b=6.2386 c=6.2386 alpha=131.69 beta=131.69 gamma=70.71
With the nearest neighbours (Å) after each atom.
Fractional coordinates of all 8 atoms:
1 Co 0.0000 0.0000 0.0000  4 S 2.15
2 Co 0.7500 0.2500 0.5000  4 S 2.15
3 Tc 0.2500 0.7500 0.5000  4 S 2.26
4 Tc 0.5000 0.5000 0.0000  4 S 2.26
5 S 0.1064 0.6250 0.9814  2 Co 2.15, 2 Tc 2.26
6 S 0.3750 0.3564 0.4814  2 Co 2.15, 2 Tc 2.26
7 S 0.6436 0.1250 0.0186  2 Co 2.15, 2 Tc 2.26
8 S 0.8750 0.8936 0.5186  2 Co 2.15, 2 Tc 2.26

Raw total energy in eV for the cell shown: -53.44
Uncorrected formation energy in eV per formula unit: -0.99

Material: CoTc2S2
Method: DFT, PBE
State: optimized geometry

Unit cell a=6.7805 b=6.7805 c=2.9902 alpha=90.00 beta=90.00 gamma=90.00
With the nearest neighbours (Å) after each atom.
Fractional coordinates of all 10 atoms:
1 Co 0.0000 0.0000 0.0000  4 Tc 2.59
2 Co 0.5000 0.5000 0.0000  4 Tc 2.59
3 Tc 0.1471 0.3529 0.0000  6 S 2.45-2.51, 2 Co 2.59
4 Tc 0.3529 0.8529 0.0000  6 S 2.45-2.51, 2 Co 2.59
5 Tc 0.6471 0.1471 0.0000  6 S 2.45-2.51, 2 Co 2.59
6 Tc 0.8529 0.6471 0.0000  6 S 2.45-2.51, 2 Co 2.59
7 S 0.1508 0.6508 0.5000  6 Tc 2.45-2.51
8 S 0.3492 0.1508 0.5000  6 Tc 2.45-2.51
9 S 0.6508 0.8492 0.5000  6 Tc 2.45-2.51
10 S 0.8492 0.3492 0.5000  6 Tc 2.45-2.51

Raw total energy in eV for the cell shown: -69.20
Uncorrected formation energy in eV per formula unit: 1.49

Material: CoTc2S2
Method: DFT, PBE
State: optimized geometry

Unit cell a=6.0513 b=6.0513 c=6.0513 alpha=144.20 beta=144.20 gamma=51.53
With the nearest neighbours (Å) after each atom.
Fractional coordinates of all 5 atoms:
1 Co 0.0000 0.0000 0.0000  8 Tc 2.94
2 Tc 0.3799 0.3799 0.0000  4 S 2.34
3 Tc 0.6201 0.6201 0.0000  4 S 2.34
4 S 0.2500 0.7500 0.5000  4 Tc 2.34
5 S 0.7500 0.2500 0.5000  4 Tc 2.34

Raw total energy in eV for the cell shown: -33.94
Uncorrected formation energy in eV per formula unit: 2.16